As2RhW: PBEsol geometry, SCAN.

Results
Energy of formation = -0.07 eV per atom
ΔE to the lowest computed polymorph = 0 meV/atom

```
4
Lattice="-1.616 -2.460 -0.611 1.011 0.381 -4.208 3.755 -2.631 0.664" Properties=species:S:1:pos:R:3 pbc="T T T"
As 1.130 -2.754 -1.143
Rh -0.493 -1.343 -2.532
As 0.797 0.069 -4.234
W 2.425 -1.341 -2.864
```


AsRhW2: PBEsol geometry, SCAN.

Results
Energy of formation = 0.29 eV per atom

```
4
Lattice="-2.749 0.564 -0.234 -1.053 -4.414 1.737 0.449 3.555 3.282" Properties=species:S:1:pos:R:3 pbc="T T T"
W -0.527 -2.207 0.869
W 0.225 1.777 1.641
As -1.375 0.282 -0.117
Rh -1.677 -0.148 2.392
```


AsRhW2: PBEsol geometry, SCAN.

Results
Energy of formation = 0.24 eV per atom

```
4
Lattice="3.784 0.000 0.000 0.000 3.784 0.000 -1.892 -1.892 4.142" Properties=species:S:1:pos:R:3 pbc="T T T"
W 0.000 1.892 2.071
Rh 0.000 0.000 0.000
W 1.892 0.000 2.071
As 1.892 1.892 0.000
```


AsRhW2: PBEsol geometry, SCAN.

Results
Energy of formation = 0.10 eV per atom

```
4
Lattice="-0.474 0.616 -2.665 3.329 -2.211 -1.102 -2.729 -4.466 0.714" Properties=species:S:1:pos:R:3 pbc="T T T"
W -2.730 -4.417 0.612
Rh -0.563 -4.156 -1.159
As -1.509 -2.040 -0.466
W 0.598 -1.837 -2.303
```